No. 1
Material: Dy2NbS
Method: DFT, PBE
State: relaxed

Cell: 3.4569 3.4569 9.6273 Å, 79.66 79.66 60.00°
Closest atoms and distances in Å follow each position.
Fractional positions:
Nb 0.0000 0.0000 0.0000  2 Dy 2.93
S 0.5000 0.5000 0.5000  6 Dy 2.68
Dy 0.1036 0.1036 0.6893  3 S 2.68, 1 Nb 2.93
Dy 0.8964 0.8964 0.3107  3 S 2.68, 1 Nb 2.93

The value obtained for the total magnetic moment is 0.184 μB per atom. The calculation puts the formation energy without anion corrections at -259 meV per atom. Its space group is R-3m (166). Its calculated density is 7.67 g/cm³.

=====

No. 2
Material: Na3LaSb
Method: DFT, PBE
State: relaxed

Cell: 5.3596 5.3596 5.3596 Å, 90.00 90.00 90.00°
Closest atoms and distances in Å follow each position.
Fractional positions:
Sb 0.0000 0.0000 0.0000  6 Na 2.68
Na 0.0000 0.5000 0.0000  2 Sb 2.68
Na 0.0000 0.0000 0.5000  2 Sb 2.68
Na 0.5000 0.0000 0.0000  2 Sb 2.68
La 0.5000 0.5000 0.5000  12 Na 3.79

The value obtained for the total magnetic moment is 0.000 μB per atom. The calculation puts the formation energy without anion corrections at 346 meV per atom. Its space group is Pm-3m (221). Its calculated density is 3.56 g/cm³.

=====

No. 3
Material: AlCuAs2
Method: DFT, PBE
State: relaxed

Cell: 2.9669 3.6803 7.1230 Å, 90.00 90.00 90.00°
Closest atoms and distances in Å follow each position.
Fractional positions:
As 0.0000 0.0000 0.8955  4 Al 2.67, 1 Cu 2.68, 2 As 2.97
As 0.5000 0.5000 0.3633  1 Al 2.55, 4 Cu 2.61
Al 0.5000 0.5000 0.7219  5 As 2.55-2.67, 4 Cu 2.77
Cu 0.0000 0.0000 0.5193  5 As 2.61-2.68, 4 Al 2.77

For the energy of formation, the calculation gives -0.3 kJ per mole of atoms. The value obtained for the total magnetic moment is 0.000 μB per atom. Its space group is Pmm2 (25). Its calculated density is 5.13 g/cm³.

=====

No. 4
Material: K3Cr5Cl12
Method: DFT, PBE
State: relaxed

Cell: 14.0303 14.0303 14.0303 Å, 109.47 109.47 109.47°
Closest atoms and distances in Å follow each position.
Fractional positions:
K 0.7500 0.3750 0.1250  8 Cl 3.17-3.35
K 0.8750 0.7500 0.1250  8 Cl 3.17-3.35
K 0.3750 0.7500 0.6250  8 Cl 3.17-3.35
K 0.2500 0.1250 0.3750  8 Cl 3.17-3.35
K 0.8750 0.1250 0.2500  8 Cl 3.17-3.35
K 0.3750 0.6250 0.2500  8 Cl 3.17-3.35
K 0.6250 0.3750 0.7500  8 Cl 3.17-3.35
K 0.1250 0.8750 0.7500  8 Cl 3.17-3.35
K 0.7500 0.8750 0.6250  8 Cl 3.17-3.35
K 0.6250 0.2500 0.3750  8 Cl 3.17-3.35
K 0.1250 0.2500 0.8750  8 Cl 3.17-3.35
K 0.2500 0.6250 0.8750  8 Cl 3.17-3.35
Cr 0.1250 0.3750 0.2500  4 Cl 2.41
Cr 0.0000 0.5000 0.0000  6 Cl 2.50
Cr 0.0000 0.0000 0.0000  6 Cl 2.50
Cr 0.3750 0.2500 0.1250  4 Cl 2.41
Cr 0.5000 0.0000 0.5000  6 Cl 2.50
Cr 0.5000 0.5000 0.0000  6 Cl 2.50
Cr 0.1250 0.7500 0.3750  4 Cl 2.41
Cr 0.7500 0.1250 0.8750  4 Cl 2.41
Cr 0.7500 0.6250 0.3750  4 Cl 2.41
Cr 0.3750 0.1250 0.7500  4 Cl 2.41
Cr 0.6250 0.8750 0.2500  4 Cl 2.41
Cr 0.5000 0.5000 0.5000  6 Cl 2.50
Cr 0.5000 0.0000 0.0000  6 Cl 2.50
Cr 0.0000 0.0000 0.5000  6 Cl 2.50
Cr 0.2500 0.3750 0.6250  4 Cl 2.41
Cr 0.2500 0.8750 0.1250  4 Cl 2.41
Cr 0.0000 0.5000 0.5000  6 Cl 2.50
Cr 0.8750 0.2500 0.6250  4 Cl 2.41
Cr 0.6250 0.7500 0.8750  4 Cl 2.41
Cr 0.8750 0.6250 0.7500  4 Cl 2.41
Cl 0.6904 0.1115 0.0147  2 Cr 2.41-2.50
Cl 0.3243 0.5147 0.4032  2 Cr 2.41-2.50
Cl 0.9853 0.3885 0.3096  2 Cr 2.41-2.50
Cl 0.5147 0.1904 0.1115  2 Cr 2.41-2.50
Cl 0.5789 0.6904 0.6757  2 Cr 2.41-2.50
Cl 0.9853 0.5968 0.1757  2 Cr 2.41-2.50
Cl 0.3243 0.8096 0.4211  2 Cr 2.41-2.50
Cl 0.0968 0.9211 0.1115  2 Cr 2.41-2.50
Cl 0.5968 0.9853 0.6757  2 Cr 2.41-2.50
Cl 0.6904 0.5789 0.1757  2 Cr 2.41-2.50
Cl 0.8096 0.4853 0.3885  2 Cr 2.41-2.50
Cl 0.8243 0.9032 0.0147  2 Cr 2.41-2.50
Cl 0.1115 0.6904 0.5147  2 Cr 2.41-2.50
Cl 0.3885 0.4032 0.0789  2 Cr 2.41-2.50
Cl 0.0789 0.9032 0.3885  2 Cr 2.41-2.50
Cl 0.4211 0.1115 0.5968  2 Cr 2.41-2.50
Cl 0.0789 0.1757 0.1904  2 Cr 2.41-2.50
Cl 0.4853 0.6757 0.0968  2 Cr 2.41-2.50
Cl 0.8243 0.9211 0.3096  2 Cr 2.41-2.50
Cl 0.1115 0.4211 0.0968  2 Cr 2.41-2.50
Cl 0.3885 0.9853 0.8096  2 Cr 2.41-2.50
Cl 0.5968 0.6115 0.4211  2 Cr 2.41-2.50
Cl 0.9032 0.8243 0.5147  2 Cr 2.41-2.50
Cl 0.8096 0.3243 0.9211  2 Cr 2.41-2.50
Cl 0.4032 0.3885 0.5789  2 Cr 2.41-2.50
Cl 0.0968 0.1757 0.4853  2 Cr 2.41-2.50
Cl 0.1904 0.6757 0.0789  2 Cr 2.41-2.50
Cl 0.1757 0.0789 0.6904  2 Cr 2.41-2.50
Cl 0.6115 0.0147 0.1904  2 Cr 2.41-2.50
Cl 0.8885 0.5789 0.9032  2 Cr 2.41-2.50
Cl 0.5147 0.3243 0.9032  2 Cr 2.41-2.50
Cl 0.5789 0.8885 0.4032  2 Cr 2.41-2.50
Cl 0.9211 0.8243 0.8096  2 Cr 2.41-2.50
Cl 0.9211 0.0968 0.6115  2 Cr 2.41-2.50
Cl 0.8885 0.3096 0.4853  2 Cr 2.41-2.50
Cl 0.1757 0.0968 0.9853  2 Cr 2.41-2.50
Cl 0.6115 0.5968 0.9211  2 Cr 2.41-2.50
Cl 0.4032 0.0147 0.3243  2 Cr 2.41-2.50
Cl 0.3096 0.4211 0.8243  2 Cr 2.41-2.50
Cl 0.1904 0.5147 0.6115  2 Cr 2.41-2.50
Cl 0.9032 0.0789 0.8885  2 Cr 2.41-2.50
Cl 0.6757 0.1904 0.5789  2 Cr 2.41-2.50
Cl 0.4853 0.8096 0.8885  2 Cr 2.41-2.50
Cl 0.0147 0.4032 0.8243  2 Cr 2.41-2.50
Cl 0.4211 0.3096 0.3243  2 Cr 2.41-2.50
Cl 0.0147 0.6115 0.6904  2 Cr 2.41-2.50
Cl 0.6757 0.4853 0.5968  2 Cr 2.41-2.50
Cl 0.3096 0.8885 0.9853  2 Cr 2.41-2.50

The value obtained for the total magnetic moment is 1.050 μB per atom. The calculation puts the formation energy without anion corrections at -1167 meV per atom. Its space group is Ia-3d (230). Its calculated density is 2.51 g/cm³.

=====

No. 5
Material: NaSiB
Method: DFT, PBE
State: relaxed

Cell: 3.4629 3.0876 9.9493 Å, 90.00 85.10 90.00°
Closest atoms and distances in Å follow each position.
Fractional positions:
Na 0.7037 0.2500 0.6619  2 Na 3.09, 4 Si 3.14-3.16
Na 0.2963 0.7500 0.3381  2 Na 3.09, 4 Si 3.14-3.16
Si 0.8424 0.2500 0.1232  4 B 2.07-2.20
Si 0.1576 0.7500 0.8768  4 B 2.07-2.20
B 0.3702 0.2500 0.0092  2 B 1.79
B 0.6298 0.7500 0.9908  2 B 1.79

The value obtained for the total magnetic moment is 0.000 μB per atom. The calculation puts the formation energy without anion corrections at 167 meV per atom. Its space group is P2_1/m (11). Its calculated density is 1.94 g/cm³.

=====

No. 6
Material: Y4AlTl2
Method: DFT, PBE
State: relaxed

Cell: 5.2263 5.2263 9.0733 Å, 73.26 73.26 60.00°
Closest atoms and distances in Å follow each position.
Fractional positions:
Y 0.8759 0.8759 0.3724  4 Tl 3.13-3.16, 1 Al 3.19
Y 0.1241 0.1241 0.6276  4 Tl 3.13-3.16, 1 Al 3.19
Y 0.6244 0.6244 0.1269  3 Al 3.21, 4 Tl 3.23-3.33
Y 0.3756 0.3756 0.8731  3 Al 3.21, 4 Tl 3.23-3.33
Tl 0.7540 0.7540 0.7380  8 Y 3.13-3.33
Tl 0.2460 0.2460 0.2620  8 Y 3.13-3.33
Al 0.0000 0.0000 0.0000  8 Y 3.19-3.21

For the energy of formation, the calculation gives -22.7 kJ per mole of atoms. The value obtained for the total magnetic moment is 0.000 μB per atom. Its space group is R-3m (166). Its calculated density is 6.49 g/cm³.

=====

No. 7
Material: TbCe2Dy3Tm6
Method: DFT, PBE
State: relaxed

Cell: 6.0794 6.0794 11.5990 Å, 95.01 95.01 119.98°
Closest atoms and distances in Å follow each position.
Fractional positions:
Tb 0.0000 0.0000 0.0000  6 Tm 3.50, 6 Ce 3.51
Ce 0.3334 0.6666 0.0000  6 Tm 3.49, 3 Ce 3.51, 3 Tb 3.51
Ce 0.6666 0.3334 0.0000  6 Tm 3.49, 3 Ce 3.51, 3 Tb 3.51
Dy 0.1661 0.8339 0.5000  6 Dy 3.50-3.52, 6 Tm 3.50-3.51
Dy 0.8339 0.1661 0.5000  6 Dy 3.50-3.52, 6 Tm 3.50-3.51
Dy 0.5000 0.5000 0.5000  6 Tm 3.50-3.51, 6 Dy 3.51-3.52
Tm 0.9163 0.5809 0.7508  2 Ce 3.49, 6 Tm 3.50-3.53, 1 Tb 3.50, 3 Dy 3.50-3.51
Tm 0.7482 0.7482 0.2493  2 Ce 3.49, 6 Tm 3.50-3.53, 1 Tb 3.50, 3 Dy 3.50-3.51
Tm 0.0837 0.4191 0.2492  2 Ce 3.49, 6 Tm 3.50-3.53, 1 Tb 3.50, 3 Dy 3.50-3.51
Tm 0.5809 0.9163 0.7508  2 Ce 3.49, 6 Tm 3.50-3.53, 1 Tb 3.50, 3 Dy 3.50-3.51
Tm 0.2518 0.2518 0.7507  2 Ce 3.49, 6 Tm 3.50-3.53, 1 Tb 3.50, 3 Dy 3.50-3.51
Tm 0.4191 0.0837 0.2492  2 Ce 3.49, 6 Tm 3.50-3.53, 1 Tb 3.50, 3 Dy 3.50-3.51

For the energy of formation, the calculation gives 4.5 kJ per mole of atoms. The value obtained for the total magnetic moment is 0.144 μB per atom. Its space group is C2/m (12). Its calculated density is 8.81 g/cm³.

=====

No. 8
Material: Zn5Rh3
Method: DFT, PBE
State: relaxed

Cell: 6.3089 5.5594 9.1230 Å, 89.84 107.84 129.71°
Closest atoms and distances in Å follow each position.
Fractional positions:
Zn 0.2648 0.0870 0.8569  6 Rh 2.61-2.74, 6 Zn 2.67-2.90
Zn 0.2431 0.0652 0.3501  5 Rh 2.63-2.69, 7 Zn 2.68-2.87
Zn 0.2492 0.8251 0.6050  4 Rh 2.65-2.83, 8 Zn 2.66-2.90
Zn 0.2561 0.5708 0.8561  6 Rh 2.64-2.68, 6 Zn 2.69-2.85
Zn 0.7412 0.4373 0.6535  4 Rh 2.60-2.64, 8 Zn 2.66-2.90
Zn 0.2596 0.5635 0.3473  4 Rh 2.60-2.64, 8 Zn 2.66-2.90
Zn 0.7447 0.4301 0.1448  6 Rh 2.64-2.68, 6 Zn 2.69-2.85
Zn 0.7516 0.1757 0.3959  4 Rh 2.65-2.83, 8 Zn 2.66-2.90
Zn 0.7577 0.9357 0.6507  5 Rh 2.63-2.69, 7 Zn 2.68-2.87
Zn 0.7360 0.9139 0.1439  6 Rh 2.61-2.74, 6 Zn 2.67-2.90
Rh 0.2515 0.3360 0.5987  10 Zn 2.61-2.83, 1 Rh 2.89
Rh 0.2387 0.3025 0.0997  7 Zn 2.61-2.68, 5 Rh 2.72-2.89
Rh 0.2572 0.8164 0.1073  8 Zn 2.60-2.77, 4 Rh 2.74-2.88
Rh 0.7436 0.1845 0.8935  8 Zn 2.60-2.77, 4 Rh 2.74-2.88
Rh 0.7621 0.6984 0.9011  7 Zn 2.61-2.68, 5 Rh 2.72-2.89
Rh 0.7494 0.6648 0.4021  10 Zn 2.61-2.83, 1 Rh 2.89

For the energy of formation, the calculation gives -29.1 kJ per mole of atoms. Its energy above the most stable polymorph in this dataset is 0.69 eV/f.u. The value obtained for the total magnetic moment is 0.000 μB per atom. Its space group is P-1 (2). Its calculated density is 9.34 g/cm³.

=====

These records have DOS(E_F) values of 1.010 1.169 0.191 0.461 0.136 1.136 1.740 0.551 states/eV per atom, in the order they appear.